Co4Ni3Rh2: optimized geometry, PBE.

Output
DFT total energy   -6.5677 eV per atom
ΔE_f   151 meV/atom

Structure (POSCAR):
```
Co4Ni3Rh2
1.0
3.964 0.000 0.000
0.000 5.018 0.000
0.000 0.000 11.178
Co Ni Rh
8 6 4
direct
0.500 0.138 0.879
0.500 0.862 0.121
0.000 0.110 0.203
0.000 0.362 0.379
0.500 0.610 0.297
0.000 0.890 0.797
0.000 0.638 0.621
0.500 0.390 0.703
0.000 0.385 0.831
0.500 0.885 0.669
0.000 0.615 0.169
0.500 0.115 0.331
0.000 0.000 0.000
0.500 0.500 0.500
0.000 0.840 0.407
0.500 0.340 0.093
0.000 0.160 0.593
0.500 0.660 0.907
```